No. 1
Below is crystalline La2IO3 at its relaxed geometry, with properties calculated at the PBE level.

Computed properties:
Electronic total energy   -0.5284 Ry per atom
ΔE_f (raw)   -2810 meV/atom
Size of the total moment   0.000 μB per atom
Space-group type   C2/m

```
12
Lattice="6.750 -2.061 0.000 6.750 2.061 0.000 -4.637 0.000 9.331" Properties=species:S:1:pos:R:3 pbc="T T T"
La -0.903 0.000 2.388
La 0.232 0.000 8.674
La 8.631 0.000 0.657
La 9.767 0.000 6.942
I 3.186 0.000 3.772
I 5.677 0.000 5.559
O -2.189 0.000 8.633
O 1.409 0.000 2.111
O 2.645 0.000 7.943
O 6.218 0.000 1.388
O 7.454 0.000 7.219
O 11.052 0.000 0.698
```

***

No. 2
Below is crystalline La2I2O at its relaxed geometry, with properties calculated at the PBE level.

Computed properties:
Electronic total energy   -0.3175 Ry per atom
Energy relative to the lowest polymorph listed for this composition   0.000 eV per atom
ΔE_f (raw)   -737 meV/atom
Size of the total moment   0.000 μB per atom
Space-group type   P4/mbm

```
10
Lattice="8.519 0.000 0.000 0.000 8.519 0.000 0.000 0.000 4.053" Properties=species:S:1:pos:R:3 pbc="T T T"
La 1.382 2.877 0.000
La 2.877 7.137 0.000
La 5.642 1.382 0.000
La 7.137 5.642 0.000
I 1.185 5.444 2.027
I 3.075 1.185 2.027
I 5.444 7.334 2.027
I 7.334 3.075 2.027
O 0.000 0.000 2.027
O 4.259 4.259 2.027
```

***

What did the first record say?
Below is crystalline La2IO3 at its relaxed geometry, with properties calculated at the PBE level.

Computed properties:
Electronic total energy   -0.5284 Ry per atom
ΔE_f (raw)   -2810 meV/atom
Size of the total moment   0.000 μB per atom
Space-group type   C2/m

```
12
Lattice="6.750 -2.061 0.000 6.750 2.061 0.000 -4.637 0.000 9.331" Properties=species:S:1:pos:R:3 pbc="T T T"
La -0.903 0.000 2.388
La 0.232 0.000 8.674
La 8.631 0.000 0.657
La 9.767 0.000 6.942
I 3.186 0.000 3.772
I 5.677 0.000 5.559
O -2.189 0.000 8.633
O 1.409 0.000 2.111
O 2.645 0.000 7.943
O 6.218 0.000 1.388
O 7.454 0.000 7.219
O 11.052 0.000 0.698
```